Entry from Alexandria via LeMat-Bulk: crystalline Er4TlHgN at its relaxed geometry (PBE).

Cell lengths 6.751, 6.753, 8.162 Å; angles 90.00, 114.43, 90.00 degrees
Element x y z (fractional)
Hg (0.382, 0.250, 0.764)
Hg (0.618, 0.750, 0.236)
Er (0.581, 0.250, 0.161)
Er (0.000, 0.500, 0.500)
Er (0.419, 0.750, 0.839)
Er (0.913, 0.250, 0.826)
Er (0.500, 0.500, 0.500)
Er (0.000, 0.000, 0.500)
Er (0.087, 0.750, 0.174)
Er (0.500, 0.000, 0.500)
Tl (0.884, 0.750, 0.768)
Tl (0.116, 0.250, 0.232)
N (0.751, 0.250, 0.501)
N (0.249, 0.750, 0.499)

Summary:
As for the uncorrected energy: -4.899 eV per atom. The space-group type is No. 63. The value obtained for the formation energy without anion corrections is -0.7209 eV per atom.